# PBE Er2GaPt9, relaxed
# Energy of formation   -0.852 eV per atom
# Total DFT energy (no corrections)   -76.74 eV/cell
# Fermi-level density of states   12.49 states/eV per cell
data_Er2GaPt9
_cell_length_a 4.066
_cell_length_b 4.066
_cell_length_c 12.068
_cell_angle_alpha 90.00
_cell_angle_beta 90.00
_cell_angle_gamma 90.00
_symmetry_space_group_name_H-M 'P 4/m m m'
_symmetry_Int_Tables_number 123
_symmetry_space_group_name_Hall '-P 4 2'
loop_
_atom_site_label
_atom_site_fract_x
_atom_site_fract_y
_atom_site_fract_z
Er1 0.000 0.000 0.171
Ga1 0.000 0.000 0.500
Pt1 0.000 0.500 0.000
Pt2 0.000 0.500 0.344
Pt3 0.500 0.500 0.173
Pt4 0.500 0.500 0.500